The following is a GGA-PBE calculation of an optimized crystal structure of RbUHg2O6, from Alexandria.

Output
Its calculated total energy is -5.752 eV per atom.

Geometry as CIF:
```
data_RbUHg2O6
_chemical_formula_sum 'Rb1 U1 Hg2 O6'
_cell_length_a 6.221
_cell_length_b 6.240
_cell_length_c 6.483
_cell_angle_alpha 61.35
_cell_angle_beta 61.45
_cell_angle_gamma 60.10
_symmetry_space_group_name_H-M 'P -1'
_symmetry_Int_Tables_number 2
loop_
_symmetry_equiv_pos_as_xyz
'x,y,z'
'-x,-y,-z'
loop_
_atom_site_label
_atom_site_fract_x
_atom_site_fract_y
_atom_site_fract_z
Rb1 0.000 0.000 0.000
U1 0.500 0.500 0.500
Hg1 0.257 0.255 0.231
O1 0.139 0.667 0.729
O2 0.330 0.535 0.271
O3 0.466 0.138 0.729
```